Computed, not measured: an optimized crystal structure of BaLaNi2Ge4 at the PBE level of DFT.

abc: 4.2888 4.4388 17.4532
angles: 90.00 90.00 90.00
Last column: nearest neighbours and their distance in Å.
Fractional coordinates of all 16 atoms:
Ba 0.0000 0.0000 0.0000  10 Ge 3.30-3.47, 4 Ni 3.37
Ba 0.0000 0.5000 0.5000  10 Ge 3.30-3.47, 4 Ni 3.37
La 0.5000 0.0000 0.7816  10 Ge 3.20-3.45, 5 Ni 3.31-3.55
La 0.5000 0.5000 0.2816  10 Ge 3.20-3.45, 5 Ni 3.31-3.55
Ni 0.0000 0.0000 0.2127  5 Ge 2.34-2.51
Ni 0.0000 0.5000 0.7127  5 Ge 2.34-2.51
Ni 0.5000 0.0000 0.5782  5 Ge 2.44-2.54
Ni 0.5000 0.5000 0.0782  5 Ge 2.44-2.54
Ge 0.0000 0.0000 0.3470  1 Ni 2.34, 2 Ge 2.61
Ge 0.0000 0.0000 0.6453  4 Ni 2.44-2.51
Ge 0.0000 0.5000 0.1453  4 Ni 2.44-2.51
Ge 0.0000 0.5000 0.8470  1 Ni 2.34, 2 Ge 2.61
Ge 0.5000 0.0000 0.1466  4 Ni 2.44-2.52
Ge 0.5000 0.0000 0.4326  1 Ni 2.54, 2 Ge 2.61
Ge 0.5000 0.5000 0.6466  4 Ni 2.44-2.52
Ge 0.5000 0.5000 0.9326  1 Ni 2.54, 2 Ge 2.61

Results
- Space group: Amm2
- Volume: 332.26 Å³ per cell
- E_tot: -0.1897 hartree per atom
- Total magnetization: 0.0007 μB per atom
- Crystal system: orthorhombic

***

Computed, not measured: an optimized crystal structure of BaLiNiGe at the PBE level of DFT.

abc: 4.3017 5.9888 6.8145
angles: 90.00 90.00 90.00
Last column: nearest neighbours and their distance in Å.
Fractional coordinates of all 8 atoms:
Ba 0.0000 0.1209 0.0000  2 Li 3.08-3.33, 3 Ni 3.10-3.43
Ba 0.5000 0.8791 0.5000  2 Li 3.08-3.33, 3 Ni 3.10-3.43
Li 0.0000 0.5993 0.8325  3 Ge 2.50-2.51, 3 Ni 2.55-2.56
Li 0.5000 0.4007 0.3325  3 Ge 2.50-2.51, 3 Ni 2.55-2.56
Ni 0.0000 0.5826 0.2060  3 Ge 2.48-2.50, 3 Li 2.55-2.56
Ni 0.5000 0.4174 0.7060  3 Ge 2.48-2.50, 3 Li 2.55-2.56
Ge 0.0000 0.3767 0.5223  3 Ni 2.48-2.50, 3 Li 2.50-2.51
Ge 0.5000 0.6233 0.0223  3 Ni 2.48-2.50, 3 Li 2.50-2.51

Results
- Space group: Pmn2_1
- Volume: 175.56 Å³ per cell
- Polymorph energy (0 for the lowest one): 0.0323 eV/atom
- Total magnetization: 0.0004 μB per atom
- Crystal system: orthorhombic

***

Computed, not measured: an optimized crystal structure of BaLiNiGe at the PBE level of DFT.

abc: 4.3255 6.8771 6.0127
angles: 90.00 90.00 90.00
Last column: nearest neighbours and their distance in Å.
Fractional coordinates of all 8 atoms:
Ba 0.0000 0.0000 0.0000  4 Ni 3.19-3.30, 2 Ge 3.46, 4 Li 3.48
Ba 0.5000 0.5000 0.2318  4 Li 3.15-3.47, 2 Ge 3.50, 4 Ni 3.52
Li 0.5000 0.2989 0.7026  3 Ge 2.56-2.57, 2 Ni 2.59, 1 Li 2.77
Li 0.5000 0.7011 0.7026  3 Ge 2.56-2.57, 2 Ni 2.59, 1 Li 2.77
Ni 0.0000 0.1786 0.5100  1 Ni 2.46, 3 Ge 2.46-2.51, 2 Li 2.59
Ni 0.0000 0.8214 0.5100  1 Ni 2.46, 3 Ge 2.46-2.51, 2 Li 2.59
Ge 0.0000 0.5000 0.6884  2 Ni 2.46, 4 Li 2.57
Ge 0.5000 0.0000 0.4498  4 Ni 2.51, 2 Li 2.56

Results
- Space group: Pmm2
- Volume: 178.86 Å³ per cell
- Polymorph energy (0 for the lowest one): 0.0308 eV/atom
- Total magnetization: 0.0019 μB per atom
- Crystal system: orthorhombic

***

Computed, not measured: an optimized crystal structure of Ba2LiNi3Ge2 at the PBE level of DFT.

abc: 6.0040 4.2275 6.8329
angles: 90.00 90.49 90.00
Last column: nearest neighbours and their distance in Å.
Fractional coordinates of all 8 atoms:
Ba 0.0000 0.0000 0.0000  6 Ni 3.09-3.42
Ba 0.2366 0.5000 0.5219  1 Ni 3.06, 2 Li 3.14-3.40
Li 0.7114 0.5000 0.3314  3 Ge 2.51-2.54, 3 Ni 2.55-2.56
Ni 0.5177 0.0000 0.8393  3 Ge 2.42, 3 Ni 2.49-2.56
Ni 0.5226 0.0000 0.2030  1 Ni 2.49, 3 Ge 2.49, 2 Li 2.55
Ni 0.7022 0.5000 0.7063  3 Ge 2.44, 2 Ni 2.56, 1 Li 2.56
Ge 0.4930 0.5000 0.0112  5 Ni 2.42-2.49, 1 Li 2.54
Ge 0.7096 0.0000 0.5290  4 Ni 2.42-2.49, 2 Li 2.51

Results
- Space group: Pm
- Volume: 173.43 Å³ per cell
- E_tot: -0.1591 hartree per atom
- Total magnetization: 0.0060 μB per atom
- Crystal system: monoclinic

***

Computed, not measured: an optimized crystal structure of BaLiNiGe at the PBE level of DFT.

abc: 6.0460 4.2688 7.1369
angles: 90.00 91.48 90.00
Last column: nearest neighbours and their distance in Å.
Fractional coordinates of all 8 atoms:
Ba 0.1148 0.2500 0.2769  2 Ni 3.05-3.40, 2 Li 3.36-3.39
Ba 0.8852 0.7500 0.7231  2 Ni 3.05-3.40, 2 Li 3.36-3.39
Li 0.3940 0.7500 0.9329  3 Ge 2.60-2.77, 1 Ni 2.63, 2 Li 2.66
Li 0.6060 0.2500 0.0671  3 Ge 2.60-2.77, 1 Ni 2.63, 2 Li 2.66
Ni 0.4111 0.7500 0.5655  3 Ge 2.42-2.45, 2 Ni 2.58, 1 Li 2.63
Ni 0.5889 0.2500 0.4345  3 Ge 2.42-2.45, 2 Ni 2.58, 1 Li 2.63
Ge 0.3806 0.2500 0.7239  3 Ni 2.42-2.45, 2 Li 2.60
Ge 0.6194 0.7500 0.2761  3 Ni 2.42-2.45, 2 Li 2.60

Results
- Space group: P2_1/m
- Volume: 184.14 Å³ per cell
- Polymorph energy (0 for the lowest one): 0.0000 eV/atom
- Total magnetization: 0.0012 μB per atom
- Crystal system: monoclinic

***

Computed, not measured: an optimized crystal structure of BaMgNiGe at the PBE level of DFT.

abc: 7.2402 7.2402 7.2402
angles: 90.00 90.00 90.00
Last column: nearest neighbours and their distance in Å.
Fractional coordinates of all 16 atoms:
Ba 0.0000 0.0000 0.0000  4 Ge 3.14, 4 Ni 3.14
Ba 0.0000 0.5000 0.5000  4 Ge 3.14, 4 Ni 3.14
Ba 0.5000 0.0000 0.5000  4 Ge 3.14, 4 Ni 3.14
Ba 0.5000 0.5000 0.0000  4 Ge 3.14, 4 Ni 3.14
Mg 0.0000 0.0000 0.5000  4 Ge 3.14, 4 Ni 3.14
Mg 0.0000 0.5000 0.0000  4 Ge 3.14, 4 Ni 3.14
Mg 0.5000 0.0000 0.0000  4 Ge 3.14, 4 Ni 3.14
Mg 0.5000 0.5000 0.5000  4 Ge 3.14, 4 Ni 3.14
Ni 0.2500 0.2500 0.7500  4 Ba 3.14, 4 Mg 3.14
Ni 0.2500 0.7500 0.2500  4 Ba 3.14, 4 Mg 3.14
Ni 0.7500 0.2500 0.2500  4 Ba 3.14, 4 Mg 3.14
Ni 0.7500 0.7500 0.7500  4 Mg 3.14, 4 Ba 3.14
Ge 0.2500 0.2500 0.2500  4 Ba 3.14, 4 Mg 3.14
Ge 0.2500 0.7500 0.7500  4 Ba 3.14, 4 Mg 3.14
Ge 0.7500 0.2500 0.7500  4 Ba 3.14, 4 Mg 3.14
Ge 0.7500 0.7500 0.2500  4 Ba 3.14, 4 Mg 3.14

Results
- Space group: F-43m
- Volume: 379.54 Å³ per cell
- Polymorph energy (0 for the lowest one): 0.0000 eV/atom
- Total magnetization: 0.0873 μB per atom
- Crystal system: cubic

***

Computed, not measured: an optimized crystal structure of BaMgNiGe at the PBE level of DFT.

abc: 7.1198 7.1198 7.1198
angles: 90.00 90.00 90.00
Last column: nearest neighbours and their distance in Å.
Fractional coordinates of all 16 atoms:
Ba 0.0000 0.0000 0.0000  4 Ge 3.08, 4 Mg 3.08
Ba 0.0000 0.5000 0.5000  4 Ge 3.08, 4 Mg 3.08
Ba 0.5000 0.0000 0.5000  4 Ge 3.08, 4 Mg 3.08
Ba 0.5000 0.5000 0.0000  4 Ge 3.08, 4 Mg 3.08
Mg 0.2500 0.2500 0.2500  4 Ba 3.08, 4 Ni 3.08
Mg 0.2500 0.7500 0.7500  4 Ba 3.08, 4 Ni 3.08
Mg 0.7500 0.2500 0.7500  4 Ba 3.08, 4 Ni 3.08
Mg 0.7500 0.7500 0.2500  4 Ba 3.08, 4 Ni 3.08
Ni 0.0000 0.0000 0.5000  4 Ge 3.08, 4 Mg 3.08
Ni 0.0000 0.5000 0.0000  4 Ge 3.08, 4 Mg 3.08
Ni 0.5000 0.0000 0.0000  4 Ge 3.08, 4 Mg 3.08
Ni 0.5000 0.5000 0.5000  4 Ge 3.08, 4 Mg 3.08
Ge 0.2500 0.2500 0.7500  4 Ba 3.08, 4 Ni 3.08
Ge 0.2500 0.7500 0.2500  4 Ba 3.08, 4 Ni 3.08
Ge 0.7500 0.2500 0.2500  4 Ba 3.08, 4 Ni 3.08
Ge 0.7500 0.7500 0.7500  4 Ba 3.08, 4 Ni 3.08

Results
- Space group: F-43m
- Volume: 360.92 Å³ per cell
- Polymorph energy (0 for the lowest one): 0.0631 eV/atom
- Total magnetization: 0.0012 μB per atom
- Crystal system: cubic

***

Computed, not measured: an optimized crystal structure of BaMgNiGe at the PBE level of DFT.

abc: 6.9824 6.9824 6.9824
angles: 90.00 90.00 90.00
Last column: nearest neighbours and their distance in Å.
Fractional coordinates of all 16 atoms:
Ba 0.0000 0.0000 0.0000  4 Mg 3.02, 4 Ni 3.02
Ba 0.0000 0.5000 0.5000  4 Mg 3.02, 4 Ni 3.02
Ba 0.5000 0.0000 0.5000  4 Mg 3.02, 4 Ni 3.02
Ba 0.5000 0.5000 0.0000  4 Mg 3.02, 4 Ni 3.02
Mg 0.2500 0.2500 0.7500  4 Ge 3.02, 4 Ba 3.02
Mg 0.2500 0.7500 0.2500  4 Ge 3.02, 4 Ba 3.02
Mg 0.7500 0.2500 0.2500  4 Ge 3.02, 4 Ba 3.02
Mg 0.7500 0.7500 0.7500  4 Ge 3.02, 4 Ba 3.02
Ni 0.2500 0.2500 0.2500  4 Ge 3.02, 4 Ba 3.02
Ni 0.2500 0.7500 0.7500  4 Ge 3.02, 4 Ba 3.02
Ni 0.7500 0.2500 0.7500  4 Ge 3.02, 4 Ba 3.02
Ni 0.7500 0.7500 0.2500  4 Ge 3.02, 4 Ba 3.02
Ge 0.0000 0.0000 0.5000  4 Ni 3.02, 4 Mg 3.02
Ge 0.0000 0.5000 0.0000  4 Ni 3.02, 4 Mg 3.02
Ge 0.5000 0.0000 0.0000  4 Ni 3.02, 4 Mg 3.02
Ge 0.5000 0.5000 0.5000  4 Ni 3.02, 4 Mg 3.02

Results
- Space group: F-43m
- Volume: 340.42 Å³ per cell
- Polymorph energy (0 for the lowest one): 0.0272 eV/atom
- Total magnetization: 0.0028 μB per atom
- Crystal system: cubic